First-principles (PBE-GGA) data for a relaxed Mn2BiOs2 crystal, as listed in the Alexandria database.

The space group is I4/mmm (No. 139) and the conventional cell measures 3.9985, 3.9985 and 10.2815 Å, with angles of 90.00, 90.00 and 90.00 degrees. Symmetry generates all atoms from Mn at (0.0000, 0.0000, 0.1127), Bi at (0.0000, 0.0000, 0.5000) and Os at (0.0000, 0.5000, 0.2500).

The calculation puts the total DFT energy (no corrections) at -8.41 eV/atom. The formation energy comes out at 529 meV/atom. The energy above the lowest structure with this stoichiometry comes out at 0.0 kJ per mole of atoms.